# LiPr2Ge2, optimized geometry, DFT GGA-PBE
# DFT formation energy	-0.654	eV per atom
data_LiPr2Ge2
_chemical_formula_sum 'Li2 Pr4 Ge4'
_space_group_name_H-M_alt 'I m m m'
_space_group_IT_number 71
_space_group_name_Hall '-I 2 2'
_cell_length_a 4.4651
_cell_length_b 6.3047
_cell_length_c 8.7695
_cell_angle_alpha 90.00
_cell_angle_beta 90.00
_cell_angle_gamma 90.00
loop_
_atom_site_label
_atom_site_type_symbol
_atom_site_fract_x
_atom_site_fract_y
_atom_site_fract_z
_atom_site_occupancy
Li1 Li 0.0000 0.0000 0.0000 1
Pr1 Pr 0.0000 0.5000 0.2123 1
Ge1 Ge 0.0000 0.2077 0.5000 1


Below is an optimized crystal structure of KDyH, with properties calculated at the GGA-PBE level.

CIF file:
```
data_KDyH
_chemical_formula_sum 'K4 Dy4 H4'
_space_group_name_H-M_alt 'A m m 2'
_space_group_IT_number 38
_cell_length_a 13.8716
_cell_length_b 3.5697
_cell_length_c 6.1875
_cell_angle_alpha 90.00
_cell_angle_beta 90.00
_cell_angle_gamma 90.00
loop_
_space_group_symop_operation_xyz
'x,y,z'
'-x,-y,z'
'-x,y,z'
'x,-y,z'
'x,y+1/2,z+1/2'
'-x,-y+1/2,z+1/2'
'-x,y+1/2,z+1/2'
'x,-y+1/2,z+1/2'
loop_
_atom_site_label
_atom_site_type_symbol
_atom_site_fract_x
_atom_site_fract_y
_atom_site_fract_z
_atom_site_occupancy
K1 K 0.1271 0.0000 0.0000 1
Dy1 Dy 0.3881 0.0000 0.6752 1
H1 H 0.0000 0.0000 0.6662 1
H2 H 0.5000 0.0000 0.0089 1
```


# Cu3HN, optimized geometry, DFT GGA-PBE
# relative energy among the computed polymorphs	0.000	eV/atom
data_Cu3HN
_chemical_formula_sum 'Cu3 H1 N1'
_space_group_name_H-M_alt 'P m -3 m'
_space_group_IT_number 221
_space_group_name_Hall '-P 4 2 3'
_cell_length_a 3.8248
_cell_length_b 3.8248
_cell_length_c 3.8248
_cell_angle_alpha 90.00
_cell_angle_beta 90.00
_cell_angle_gamma 90.00
loop_
_atom_site_label
_atom_site_type_symbol
_atom_site_fract_x
_atom_site_fract_y
_atom_site_fract_z
_atom_site_occupancy
Cu1 Cu 0.0000 0.0000 0.5000 1
H1 H 0.5000 0.5000 0.5000 1
N1 N 0.0000 0.0000 0.0000 1


# YBRh3, optimized geometry, DFT GGA-PBE
# DFT formation energy	2.087	eV per atom
# relative energy among the computed polymorphs	2.868	eV/atom
data_YBRh3
_chemical_formula_sum 'Y1 B1 Rh3'
_space_group_name_H-M_alt 'P m -3 m'
_space_group_IT_number 221
_space_group_name_Hall '-P 4 2 3'
_cell_length_a 4.9010
_cell_length_b 4.9010
_cell_length_c 4.9010
_cell_angle_alpha 90.00
_cell_angle_beta 90.00
_cell_angle_gamma 90.00
loop_
_atom_site_label
_atom_site_type_symbol
_atom_site_fract_x
_atom_site_fract_y
_atom_site_fract_z
_atom_site_occupancy
Y1 Y 0.0000 0.0000 0.0000 1
B1 B 0.5000 0.5000 0.5000 1
Rh1 Rh 0.0000 0.0000 0.5000 1


# Y2TlRuO, optimized geometry, DFT GGA-PBE
# energy relative to the elements, uncorrected	-0.83	eV/atom
data_Y2TlRuO
_chemical_formula_sum 'Y2 Tl1 Ru1 O1'
_space_group_name_H-M_alt 'P 4/m m m'
_space_group_IT_number 123
_space_group_name_Hall '-P 4 2'
_cell_length_a 4.5519
_cell_length_b 4.5519
_cell_length_c 4.8932
_cell_angle_alpha 90.00
_cell_angle_beta 90.00
_cell_angle_gamma 90.00
loop_
_atom_site_label
_atom_site_type_symbol
_atom_site_fract_x
_atom_site_fract_y
_atom_site_fract_z
_atom_site_occupancy
Y1 Y 0.0000 0.5000 0.0000 1
Tl1 Tl 0.0000 0.0000 0.5000 1
Ru1 Ru 0.5000 0.5000 0.5000 1
O1 O 0.0000 0.0000 0.0000 1


# Ac4Cu2N, optimized geometry, DFT GGA-PBE
# energy relative to the elements, uncorrected	-0.10	eV/atom
data_Ac4Cu2N
_chemical_formula_sum 'Ac8 Cu4 N2'
_space_group_name_H-M_alt 'I 4/m m m'
_space_group_IT_number 139
_space_group_name_Hall '-I 4 2'
_cell_length_a 5.1429
_cell_length_b 5.1429
_cell_length_c 16.3250
_cell_angle_alpha 90.00
_cell_angle_beta 90.00
_cell_angle_gamma 90.00
loop_
_atom_site_label
_atom_site_type_symbol
_atom_site_fract_x
_atom_site_fract_y
_atom_site_fract_z
_atom_site_occupancy
Ac1 Ac 0.0000 0.0000 0.1952 1
Ac2 Ac 0.0000 0.5000 0.0000 1
Cu1 Cu 0.0000 0.0000 0.3756 1
N1 N 0.0000 0.0000 0.5000 1


# Ce4Dy11Ho9, optimized geometry, DFT GGA-PBE
# DFT formation energy	0.099	eV per atom
data_Ce4Dy11Ho9
_chemical_formula_sum 'Ce8 Dy22 Ho18'
_space_group_name_H-M_alt 'C m m m'
_space_group_IT_number 65
_space_group_name_Hall '-C 2 2'
_cell_length_a 16.6633
_cell_length_b 24.8532
_cell_length_c 3.6365
_cell_angle_alpha 90.00
_cell_angle_beta 90.00
_cell_angle_gamma 90.00
loop_
_atom_site_label
_atom_site_type_symbol
_atom_site_fract_x
_atom_site_fract_y
_atom_site_fract_z
_atom_site_occupancy
Ce1 Ce 0.1518 0.0997 0.0000 1
Dy1 Dy 0.0000 0.1364 0.5000 1
Dy2 Dy 0.0000 0.3428 0.5000 1
Dy3 Dy 0.0000 0.5000 0.5000 1
Dy4 Dy 0.2104 0.0000 0.5000 1
Dy5 Dy 0.2290 0.3196 0.5000 1
Ho1 Ho 0.0000 0.0000 0.0000 1
Ho2 Ho 0.1017 0.2371 0.0000 1
Ho3 Ho 0.1415 0.4276 0.0000 1


# MgMo2Se, optimized geometry, DFT GGA-PBE
# energy relative to the elements, uncorrected	0.44	eV/atom
# relative energy among the computed polymorphs	0.418	eV/atom
data_MgMo2Se
_chemical_formula_sum 'Mg2 Mo4 Se2'
_space_group_name_H-M_alt 'C 1 2/m 1'
_space_group_IT_number 12
_cell_length_a 5.4287
_cell_length_b 9.0378
_cell_length_c 2.8843
_cell_angle_alpha 90.00
_cell_angle_beta 108.91
_cell_angle_gamma 90.00
loop_
_space_group_symop_operation_xyz
'x,y,z'
'-x,-y,-z'
'-x,y,-z'
'x,-y,z'
'x+1/2,y+1/2,z'
'-x+1/2,-y+1/2,-z'
'-x+1/2,y+1/2,-z'
'x+1/2,-y+1/2,z'
loop_
_atom_site_label
_atom_site_type_symbol
_atom_site_fract_x
_atom_site_fract_y
_atom_site_fract_z
_atom_site_occupancy
Mg1 Mg 0.0000 0.0000 0.0000 1
Mo1 Mo 0.2500 0.2500 0.5000 1
Se1 Se 0.0000 0.5000 0.0000 1


# Ca2GaSi4Pt3, optimized geometry, DFT GGA-PBE
# energy relative to the elements, uncorrected	-0.82	eV/atom
data_Ca2GaSi4Pt3
_chemical_formula_sum 'Ca2 Ga1 Si4 Pt3'
_space_group_name_H-M_alt 'P -4 m 2'
_space_group_IT_number 115
_cell_length_a 4.1736
_cell_length_b 4.1736
_cell_length_c 10.2620
_cell_angle_alpha 90.00
_cell_angle_beta 90.00
_cell_angle_gamma 90.00
loop_
_space_group_symop_operation_xyz
'x,y,z'
'y,-x,-z'
'-x,-y,z'
'-y,x,-z'
'-x,y,z'
'-y,-x,-z'
'x,-y,z'
'y,x,-z'
loop_
_atom_site_label
_atom_site_type_symbol
_atom_site_fract_x
_atom_site_fract_y
_atom_site_fract_z
_atom_site_occupancy
Ca1 Ca 0.0000 0.5000 0.2489 1
Ga1 Ga 0.0000 0.0000 0.5000 1
Si1 Si 0.0000 0.0000 0.0000 1
Si2 Si 0.0000 0.5000 0.6419 1
Si3 Si 0.5000 0.5000 0.0000 1
Pt1 Pt 0.0000 0.5000 0.8766 1
Pt2 Pt 0.5000 0.5000 0.5000 1


# Be2AlRh, optimized geometry, DFT GGA-PBE
# DFT formation energy	-0.041	eV per atom
data_Be2AlRh
_chemical_formula_sum 'Be6 Al3 Rh3'
_space_group_name_H-M_alt 'R 3 m'
_space_group_IT_number 160
_space_group_name_Hall 'R 3 -2"'
_cell_length_a 2.7645
_cell_length_b 2.7645
_cell_length_c 22.1808
_cell_angle_alpha 90.00
_cell_angle_beta 90.00
_cell_angle_gamma 120.00
loop_
_atom_site_label
_atom_site_type_symbol
_atom_site_fract_x
_atom_site_fract_y
_atom_site_fract_z
_atom_site_occupancy
Be1 Be 0.0000 0.0000 0.0000 1
Be2 Be 0.0000 0.0000 0.2564 1
Al1 Al 0.0000 0.0000 0.7547 1
Rh1 Rh 0.0000 0.0000 0.5124 1


# ScTa2Te, optimized geometry, DFT GGA-PBE
# energy relative to the elements, uncorrected	0.12	eV/atom
# relative energy among the computed polymorphs	0.240	eV/atom
data_ScTa2Te
_chemical_formula_sum 'Sc1 Ta2 Te1'
_space_group_name_H-M_alt 'P 1 2/m 1'
_space_group_IT_number 10
_cell_length_a 3.1328
_cell_length_b 5.0356
_cell_length_c 5.2438
_cell_angle_alpha 90.00
_cell_angle_beta 93.41
_cell_angle_gamma 90.00
loop_
_space_group_symop_operation_xyz
'x,y,z'
'-x,-y,-z'
'-x,y,-z'
'x,-y,z'
loop_
_atom_site_label
_atom_site_type_symbol
_atom_site_fract_x
_atom_site_fract_y
_atom_site_fract_z
_atom_site_occupancy
Sc1 Sc 0.0000 0.0000 0.0000 1
Ta1 Ta 0.3466 0.5000 0.7640 1
Te1 Te 0.5000 0.0000 0.5000 1


# CrIn2Sb, optimized geometry, DFT GGA-PBE
# energy relative to the elements, uncorrected	0.30	eV/atom
data_CrIn2Sb
_chemical_formula_sum 'Cr2 In4 Sb2'
_space_group_name_H-M_alt 'I -4 m 2'
_space_group_IT_number 119
_space_group_name_Hall 'I -4 -2'
_cell_length_a 4.5665
_cell_length_b 4.5665
_cell_length_c 9.0575
_cell_angle_alpha 90.00
_cell_angle_beta 90.00
_cell_angle_gamma 90.00
loop_
_atom_site_label
_atom_site_type_symbol
_atom_site_fract_x
_atom_site_fract_y
_atom_site_fract_z
_atom_site_occupancy
Cr1 Cr 0.0000 0.0000 0.0000 1
In1 In 0.0000 0.0000 0.5000 1
In2 In 0.0000 0.5000 0.7500 1
Sb1 Sb 0.0000 0.5000 0.2500 1


# Nd7Sm3Ho2, optimized geometry, DFT GGA-PBE
# DFT formation energy	0.073	eV per atom
# relative energy among the computed polymorphs	0.000	eV/atom
data_Nd7Sm3Ho2
_chemical_formula_sum 'Nd7 Sm3 Ho2'
_space_group_name_H-M_alt 'P 1 2/m 1'
_space_group_IT_number 10
_cell_length_a 6.5065
_cell_length_b 3.5866
_cell_length_c 17.7820
_cell_angle_alpha 90.00
_cell_angle_beta 95.97
_cell_angle_gamma 90.00
loop_
_space_group_symop_operation_xyz
'x,y,z'
'-x,-y,-z'
'-x,y,-z'
'x,-y,z'
loop_
_atom_site_label
_atom_site_type_symbol
_atom_site_fract_x
_atom_site_fract_y
_atom_site_fract_z
_atom_site_occupancy
Nd1 Nd 0.0000 0.0000 0.0000 1
Nd2 Nd 0.2232 0.5000 0.1704 1
Nd3 Nd 0.2562 0.5000 0.4951 1
Nd4 Nd 0.2735 0.0000 0.8315 1
Sm1 Sm 0.4541 0.0000 0.3393 1
Sm2 Sm 0.5000 0.5000 0.0000 1
Ho1 Ho 0.0576 0.5000 0.6701 1


# AcPrSO2, optimized geometry, DFT GGA-PBE
# energy relative to the elements, uncorrected	-2.97	eV/atom
data_AcPrSO2
_chemical_formula_sum 'Ac2 Pr2 S2 O4'
_space_group_name_H-M_alt 'I 4 m m'
_space_group_IT_number 107
_space_group_name_Hall 'I 4 -2'
_cell_length_a 4.0214
_cell_length_b 4.0214
_cell_length_c 12.8260
_cell_angle_alpha 90.00
_cell_angle_beta 90.00
_cell_angle_gamma 90.00
loop_
_atom_site_label
_atom_site_type_symbol
_atom_site_fract_x
_atom_site_fract_y
_atom_site_fract_z
_atom_site_occupancy
Ac1 Ac 0.0000 0.0000 0.0000 1
Pr1 Pr 0.0000 0.0000 0.7020 1
S1 S 0.0000 0.0000 0.3516 1
O1 O 0.0000 0.5000 0.1072 1


# PaTcRh, optimized geometry, DFT GGA-PBE
# DFT formation energy	-0.210	eV per atom
# relative energy among the computed polymorphs	0.176	eV/atom
data_PaTcRh
_chemical_formula_sum 'Pa4 Tc4 Rh4'
_space_group_name_H-M_alt 'I 4/m m m'
_space_group_IT_number 139
_space_group_name_Hall '-I 4 2'
_cell_length_a 3.4730
_cell_length_b 3.4730
_cell_length_c 19.7239
_cell_angle_alpha 90.00
_cell_angle_beta 90.00
_cell_angle_gamma 90.00
loop_
_atom_site_label
_atom_site_type_symbol
_atom_site_fract_x
_atom_site_fract_y
_atom_site_fract_z
_atom_site_occupancy
Pa1 Pa 0.0000 0.0000 0.1260 1
Tc1 Tc 0.0000 0.0000 0.2845 1
Rh1 Rh 0.0000 0.0000 0.4336 1


# Ni2AgHPd, optimized geometry, DFT GGA-PBE
# relative energy among the computed polymorphs	0.000	eV/atom
data_Ni2AgHPd
_chemical_formula_sum 'Ni2 Ag1 H1 Pd1'
_space_group_name_H-M_alt 'P 4/m m m'
_space_group_IT_number 123
_space_group_name_Hall '-P 4 2'
_cell_length_a 3.8595
_cell_length_b 3.8595
_cell_length_c 3.8572
_cell_angle_alpha 90.00
_cell_angle_beta 90.00
_cell_angle_gamma 90.00
loop_
_atom_site_label
_atom_site_type_symbol
_atom_site_fract_x
_atom_site_fract_y
_atom_site_fract_z
_atom_site_occupancy
Ni1 Ni 0.0000 0.5000 0.0000 1
Ag1 Ag 0.0000 0.0000 0.5000 1
H1 H 0.5000 0.5000 0.0000 1
Pd1 Pd 0.5000 0.5000 0.5000 1


# CuSbPb, optimized geometry, DFT GGA-PBE
# energy relative to the elements, uncorrected	0.08	eV/atom
# relative energy among the computed polymorphs	0.037	eV/atom
data_CuSbPb
_chemical_formula_sum 'Cu2 Sb2 Pb2'
_space_group_name_H-M_alt 'P 1'
_space_group_IT_number 1
_cell_length_a 3.2835
_cell_length_b 3.8469
_cell_length_c 12.0497
_cell_angle_alpha 89.99
_cell_angle_beta 85.81
_cell_angle_gamma 90.00
loop_
_space_group_symop_operation_xyz
'x,y,z'
loop_
_atom_site_label
_atom_site_type_symbol
_atom_site_fract_x
_atom_site_fract_y
_atom_site_fract_z
_atom_site_occupancy
Cu1 Cu 0.0000 0.0000 0.0000 1
Cu2 Cu 0.4960 0.5000 0.0325 1
Sb1 Sb 0.0480 0.4991 0.8470 1
Sb2 Sb 0.4480 0.9993 0.1853 1
Pb1 Pb 0.0038 0.9967 0.6181 1
Pb2 Pb 0.5157 0.4966 0.4131 1


# LaCeCo2, optimized geometry, DFT GGA-PBE
# DFT formation energy	-0.081	eV per atom
# relative energy among the computed polymorphs	0.114	eV/atom
data_LaCeCo2
_chemical_formula_sum 'La1 Ce1 Co2'
_space_group_name_H-M_alt 'P 4/m m m'
_space_group_IT_number 123
_space_group_name_Hall '-P 4 2'
_cell_length_a 3.3764
_cell_length_b 3.3764
_cell_length_c 6.9627
_cell_angle_alpha 90.00
_cell_angle_beta 90.00
_cell_angle_gamma 90.00
loop_
_atom_site_label
_atom_site_type_symbol
_atom_site_fract_x
_atom_site_fract_y
_atom_site_fract_z
_atom_site_occupancy
La1 La 0.0000 0.0000 0.0000 1
Ce1 Ce 0.0000 0.0000 0.5000 1
Co1 Co 0.5000 0.5000 0.2993 1


# Tm7Sb2Pb2, optimized geometry, DFT GGA-PBE
# energy relative to the elements, uncorrected	-0.26	eV/atom
data_Tm7Sb2Pb2
_chemical_formula_sum 'Tm14 Sb4 Pb4'
_space_group_name_H-M_alt 'C m m m'
_space_group_IT_number 65
_space_group_name_Hall '-C 2 2'
_cell_length_a 8.8990
_cell_length_b 10.8427
_cell_length_c 7.0928
_cell_angle_alpha 90.00
_cell_angle_beta 90.00
_cell_angle_gamma 90.00
loop_
_atom_site_label
_atom_site_type_symbol
_atom_site_fract_x
_atom_site_fract_y
_atom_site_fract_z
_atom_site_occupancy
Tm1 Tm 0.0000 0.0000 0.0000 1
Tm2 Tm 0.0000 0.5000 0.2625 1
Tm3 Tm 0.2500 0.2500 0.2716 1
Sb1 Sb 0.0000 0.2777 0.0000 1
Pb1 Pb 0.1858 0.0000 0.5000 1


# LaPrThSc, optimized geometry, DFT GGA-PBE
# DFT formation energy	0.046	eV per atom
# relative energy among the computed polymorphs	0.000	eV/atom
data_LaPrThSc
_chemical_formula_sum 'La1 Pr1 Th1 Sc1'
_space_group_name_H-M_alt 'P 4 m m'
_space_group_IT_number 99
_cell_length_a 3.6225
_cell_length_b 3.6225
_cell_length_c 9.8807
_cell_angle_alpha 90.00
_cell_angle_beta 90.00
_cell_angle_gamma 90.00
loop_
_space_group_symop_operation_xyz
'x,y,z'
'-y,x,z'
'-x,-y,z'
'y,-x,z'
'-x,y,z'
'y,x,z'
'x,-y,z'
'-y,-x,z'
loop_
_atom_site_label
_atom_site_type_symbol
_atom_site_fract_x
_atom_site_fract_y
_atom_site_fract_z
_atom_site_occupancy
La1 La 0.0000 0.0000 0.0000 1
Pr1 Pr 0.5000 0.5000 0.7171 1
Th1 Th 0.0000 0.0000 0.4650 1
Sc1 Sc 0.5000 0.5000 0.2434 1


Number 1: raw total energy -47.952 eV for the cell shown. Number 2: raw total energy -34.873 eV for the cell shown. Number 3: raw total energy -21.081 eV for the cell shown. Number 4: raw total energy -24.759 eV for the cell shown. Number 5: raw total energy -33.680 eV for the cell shown. Number 6: raw total energy -67.298 eV for the cell shown. Number 7: raw total energy -226.379 eV for the cell shown. Number 8: raw total energy -49.929 eV for the cell shown. Number 9: raw total energy -55.010 eV for the cell shown. Number 10: raw total energy -56.135 eV for the cell shown. Number 11: raw total energy -32.705 eV for the cell shown. Number 12: raw total energy -36.023 eV for the cell shown. Number 13: raw total energy -55.807 eV for the cell shown. Number 14: raw total energy -75.526 eV for the cell shown. Number 15: raw total energy -111.374 eV for the cell shown. Number 16: raw total energy -22.495 eV for the cell shown. Number 17: raw total energy -23.377 eV for the cell shown. Number 18: raw total energy -25.396 eV for the cell shown. Number 19: raw total energy -99.625 eV for the cell shown. Number 20: raw total energy -23.276 eV for the cell shown.